--- 1 ---
# PBE La4NdTm, relaxed
# D(E_F) (states/eV per cell): 18.392
# V (A^3/atom): 35.63
data_La4NdTm
_space_group_name_H-M_alt 'P 1'
_space_group_IT_number 1
_space_group_name_Hall 'P 1'
_cell_length_a 9.158
_cell_length_b 9.158
_cell_length_c 6.675
_cell_angle_alpha 118.15
_cell_angle_beta 118.15
_cell_angle_gamma 68.39
loop_
_atom_site_label
_atom_site_fract_x
_atom_site_fract_y
_atom_site_fract_z
La1 0.303 0.653 0.956
La2 0.653 0.303 0.456
La3 0.151 0.321 0.444
La4 0.849 0.679 0.556
La5 0.347 0.697 0.544
La6 0.321 0.151 0.944
La7 0.679 0.849 0.056
La8 0.697 0.347 0.044
Tm1 0.037 0.963 0.250
Tm2 0.963 0.037 0.750
Nd1 0.500 0.000 0.500
Nd2 0.000 0.500 0.000

--- 2 ---
# PBE La4NdTm, relaxed
# D(E_F) (states/eV per cell): 19.424
# V (A^3/atom): 35.79
data_La4NdTm
_space_group_name_H-M_alt 'P 1'
_space_group_IT_number 1
_space_group_name_Hall 'P 1'
_cell_length_a 6.277
_cell_length_b 5.929
_cell_length_c 12.322
_cell_angle_alpha 103.93
_cell_angle_beta 104.76
_cell_angle_gamma 90.00
loop_
_atom_site_label
_atom_site_fract_x
_atom_site_fract_y
_atom_site_fract_z
La1 0.645 0.089 0.679
La2 0.595 0.670 0.840
La3 0.355 0.911 0.321
La4 0.755 0.830 0.160
La5 0.966 0.411 0.321
La6 0.245 0.170 0.840
La7 0.034 0.589 0.679
La8 0.405 0.330 0.160
Nd1 0.000 0.000 0.500
Nd2 0.500 0.500 0.500
Tm1 0.830 0.250 0.000
Tm2 0.170 0.750 0.000

Tell me which of them is the least stable. Sure, it is 1.

--- 1 ---
# PBE La2NdTm8, relaxed
# D(E_F) (states/eV per cell): 17.422
# V (A^3/atom): 31.83
data_La2NdTm8
_space_group_name_H-M_alt 'P 1'
_space_group_IT_number 1
_space_group_name_Hall 'P 1'
_cell_length_a 5.044
_cell_length_b 7.946
_cell_length_c 9.400
_cell_angle_alpha 104.69
_cell_angle_beta 105.56
_cell_angle_gamma 90.00
loop_
_atom_site_label
_atom_site_fract_x
_atom_site_fract_y
_atom_site_fract_z
La1 0.228 0.637 0.455
La2 0.772 0.363 0.545
Tm1 0.319 0.094 0.638
Tm2 0.135 0.176 0.270
Tm3 0.865 0.824 0.730
Tm4 0.681 0.906 0.362
Tm5 0.411 0.545 0.823
Tm6 0.044 0.726 0.087
Tm7 0.956 0.274 0.913
Tm8 0.589 0.455 0.177
Nd1 0.500 0.000 0.000

--- 2 ---
# PBE La2NdTm8, relaxed
# D(E_F) (states/eV per cell): 13.951
# V (A^3/atom): 32.36
data_La2NdTm8
_space_group_name_H-M_alt 'P 1'
_space_group_IT_number 1
_space_group_name_Hall 'P 1'
_cell_length_a 5.494
_cell_length_b 8.073
_cell_length_c 9.394
_cell_angle_alpha 115.44
_cell_angle_beta 107.00
_cell_angle_gamma 90.00
loop_
_atom_site_label
_atom_site_fract_x
_atom_site_fract_y
_atom_site_fract_z
Tm1 0.363 0.156 0.727
Tm2 0.363 0.570 0.727
Tm3 0.000 0.292 0.000
Tm4 0.840 0.840 0.680
Tm5 0.637 0.430 0.273
Tm6 0.000 0.708 0.000
Tm7 0.160 0.160 0.320
Tm8 0.637 0.844 0.273
La1 0.201 0.701 0.402
La2 0.799 0.299 0.598
Nd1 0.500 0.000 0.000

Tell me which of them is the least stable. Sure, it is 2.

--- 1 ---
# PBE LaNd8Tm2, relaxed
# D(E_F) (states/eV per cell): 16.589
# V (A^3/atom): 34.94
data_LaNd8Tm2
_space_group_name_H-M_alt 'P 1'
_space_group_IT_number 1
_space_group_name_Hall 'P 1'
_cell_length_a 5.692
_cell_length_b 8.394
_cell_length_c 9.509
_cell_angle_alpha 116.19
_cell_angle_beta 107.41
_cell_angle_gamma 90.00
loop_
_atom_site_label
_atom_site_fract_x
_atom_site_fract_y
_atom_site_fract_z
Nd1 0.163 0.163 0.327
Nd2 0.000 0.705 0.000
Nd3 0.640 0.844 0.280
Nd4 0.640 0.437 0.280
Nd5 0.837 0.837 0.673
Nd6 0.360 0.563 0.720
Nd7 0.360 0.156 0.720
Nd8 0.000 0.295 0.000
La1 0.500 0.000 0.000
Tm1 0.200 0.700 0.400
Tm2 0.800 0.300 0.600

--- 2 ---
# PBE LaNd8Tm2, relaxed
# D(E_F) (states/eV per cell): 16.458
# V (A^3/atom): 36.02
data_LaNd8Tm2
_space_group_name_H-M_alt 'P 1'
_space_group_IT_number 1
_space_group_name_Hall 'P 1'
_cell_length_a 5.685
_cell_length_b 10.429
_cell_length_c 10.429
_cell_angle_alpha 39.94
_cell_angle_beta 92.97
_cell_angle_gamma 92.97
loop_
_atom_site_label
_atom_site_fract_x
_atom_site_fract_y
_atom_site_fract_z
Tm1 0.747 0.285 0.285
Tm2 0.253 0.715 0.715
Nd1 0.233 0.189 0.189
Nd2 0.733 0.864 0.405
Nd3 0.733 0.405 0.864
Nd4 0.767 0.811 0.811
Nd5 0.240 0.545 0.545
Nd6 0.267 0.136 0.595
Nd7 0.267 0.595 0.136
Nd8 0.760 0.455 0.455
La1 0.000 0.000 0.000

Tell me which of them is the least stable. Sure, it is 2.

--- 1 ---
# PBE La12Nd6Tm, relaxed
# D(E_F) (states/eV per cell): 30.690
# V (A^3/atom): 36.54
data_La12Nd6Tm
_space_group_name_H-M_alt 'P 1'
_space_group_IT_number 1
_space_group_name_Hall 'P 1'
_cell_length_a 8.855
_cell_length_b 8.855
_cell_length_c 8.855
_cell_angle_alpha 89.24
_cell_angle_beta 89.24
_cell_angle_gamma 89.24
loop_
_atom_site_label
_atom_site_fract_x
_atom_site_fract_y
_atom_site_fract_z
La1 0.432 0.782 0.535
La2 0.810 0.639 0.981
La3 0.190 0.361 0.019
La4 0.218 0.465 0.568
La5 0.361 0.019 0.190
La6 0.465 0.568 0.218
La7 0.535 0.432 0.782
La8 0.639 0.981 0.810
La9 0.568 0.218 0.465
La10 0.019 0.190 0.361
La11 0.981 0.810 0.639
La12 0.782 0.535 0.432
Tm1 0.000 0.000 0.000
Nd1 0.296 0.738 0.903
Nd2 0.097 0.704 0.262
Nd3 0.903 0.296 0.738
Nd4 0.262 0.097 0.704
Nd5 0.704 0.262 0.097
Nd6 0.738 0.903 0.296

--- 2 ---
# PBE La12Nd6Tm, relaxed
# D(E_F) (states/eV per cell): 31.184
# V (A^3/atom): 36.51
data_La12Nd6Tm
_space_group_name_H-M_alt 'P 1'
_space_group_IT_number 1
_space_group_name_Hall 'P 1'
_cell_length_a 10.006
_cell_length_b 10.006
_cell_length_c 10.006
_cell_angle_alpha 111.88
_cell_angle_beta 111.88
_cell_angle_gamma 111.88
loop_
_atom_site_label
_atom_site_fract_x
_atom_site_fract_y
_atom_site_fract_z
La1 0.500 0.877 0.123
La2 0.274 0.274 0.916
La3 0.123 0.500 0.877
La4 0.877 0.500 0.123
La5 0.274 0.916 0.274
La6 0.877 0.123 0.500
La7 0.123 0.877 0.500
La8 0.500 0.123 0.877
La9 0.726 0.726 0.084
La10 0.916 0.274 0.274
La11 0.084 0.726 0.726
La12 0.726 0.084 0.726
Nd1 0.481 0.728 0.728
Nd2 0.728 0.728 0.481
Nd3 0.519 0.272 0.272
Nd4 0.728 0.481 0.728
Nd5 0.272 0.519 0.272
Nd6 0.272 0.272 0.519
Tm1 0.000 0.000 0.000

Tell me which of them is the least stable. Sure, it is 2.

--- 1 ---
# PBE La3Nd2Tm3, relaxed
# D(E_F) (states/eV per cell): 13.148
# V (A^3/atom): 34.32
data_La3Nd2Tm3
_space_group_name_H-M_alt 'P 1'
_space_group_IT_number 1
_space_group_name_Hall 'P 1'
_cell_length_a 5.865
_cell_length_b 6.100
_cell_length_c 8.723
_cell_angle_alpha 109.64
_cell_angle_beta 109.65
_cell_angle_gamma 90.00
loop_
_atom_site_label
_atom_site_fract_x
_atom_site_fract_y
_atom_site_fract_z
Tm1 0.872 0.418 0.743
Tm2 0.128 0.582 0.257
Tm3 0.000 0.000 0.000
La1 0.364 0.802 0.727
La2 0.500 0.500 0.000
La3 0.636 0.198 0.273
Nd1 0.751 0.818 0.502
Nd2 0.249 0.182 0.498

--- 2 ---
# PBE La3Nd2Tm3, relaxed
# D(E_F) (states/eV per cell): 13.166
# V (A^3/atom): 33.91
data_La3Nd2Tm3
_space_group_name_H-M_alt 'P 1'
_space_group_IT_number 1
_space_group_name_Hall 'P 1'
_cell_length_a 5.049
_cell_length_b 5.174
_cell_length_c 10.996
_cell_angle_alpha 103.61
_cell_angle_beta 103.27
_cell_angle_gamma 90.00
loop_
_atom_site_label
_atom_site_fract_x
_atom_site_fract_y
_atom_site_fract_z
La1 0.500 0.000 0.000
La2 0.378 0.378 0.757
La3 0.622 0.622 0.243
Nd1 0.749 0.249 0.497
Nd2 0.251 0.751 0.503
Tm1 0.000 0.500 0.000
Tm2 0.874 0.874 0.749
Tm3 0.126 0.126 0.251

Tell me which of them is the least stable. Sure, it is 1.

--- 1 ---
# PBE La8NdTm2, relaxed
# D(E_F) (states/eV per cell): 16.651
# V (A^3/atom): 35.79
data_La8NdTm2
_space_group_name_H-M_alt 'P 1'
_space_group_IT_number 1
_space_group_name_Hall 'P 1'
_cell_length_a 6.105
_cell_length_b 9.270
_cell_length_c 9.616
_cell_angle_alpha 61.18
_cell_angle_beta 74.22
_cell_angle_gamma 55.66
loop_
_atom_site_label
_atom_site_fract_x
_atom_site_fract_y
_atom_site_fract_z
La1 0.814 0.338 0.758
La2 0.298 0.422 0.000
La3 0.702 0.578 0.000
La4 0.814 0.096 0.242
La5 0.186 0.904 0.758
La6 0.500 0.794 0.412
La7 0.186 0.662 0.242
La8 0.500 0.206 0.588
Nd1 0.500 0.000 0.000
Tm1 0.000 0.688 0.623
Tm2 0.000 0.312 0.377

--- 2 ---
# PBE La8NdTm2, relaxed
# D(E_F) (states/eV per cell): 16.515
# V (A^3/atom): 35.95
data_La8NdTm2
_space_group_name_H-M_alt 'P 1'
_space_group_IT_number 1
_space_group_name_Hall 'P 1'
_cell_length_a 5.782
_cell_length_b 8.339
_cell_length_c 9.644
_cell_angle_alpha 115.61
_cell_angle_beta 107.44
_cell_angle_gamma 90.00
loop_
_atom_site_label
_atom_site_fract_x
_atom_site_fract_y
_atom_site_fract_z
La1 0.363 0.163 0.726
La2 0.363 0.563 0.726
La3 0.164 0.164 0.328
La4 0.000 0.295 0.000
La5 0.000 0.705 0.000
La6 0.836 0.836 0.672
La7 0.637 0.437 0.274
La8 0.637 0.837 0.274
Tm1 0.799 0.299 0.597
Tm2 0.201 0.701 0.403
Nd1 0.500 0.000 0.000

Tell me which of them is the least stable. Sure, it is 1.